# 1
# ScAgW2 PBE relaxed
data_ScAgW2
_chemical_formula_sum 'Sc1 Ag1 W2'
_cell_length_a 2.751
_cell_length_b 2.751
_cell_length_c 9.233
_cell_angle_alpha 90.00
_cell_angle_beta 90.00
_cell_angle_gamma 90.00
_space_group_name_H-M_alt 'P 4 m m'
_space_group_IT_number 99
loop_
_space_group_symop_operation_xyz
'x,y,z'
'-y,x,z'
'-x,-y,z'
'y,-x,z'
'-x,y,z'
'y,x,z'
'x,-y,z'
'-y,-x,z'
loop_
_atom_site_label
_atom_site_fract_x
_atom_site_fract_y
_atom_site_fract_z
_atom_site_occupancy
Sc1 0.000 0.000 0.000 1
Ag1 0.500 0.500 0.738 1
W1 0.000 0.000 0.495 1
W2 0.500 0.500 0.249 1
# Energy of formation from the pure elements in kJ/mol of atoms: 33.2
# E above lowest polymorph in meV/atom: 111



# 2
# ScAgW2 PBE relaxed
data_ScAgW2
_chemical_formula_sum 'Sc2 Ag2 W4'
_cell_length_a 9.448
_cell_length_b 2.766
_cell_length_c 5.424
_cell_angle_alpha 90.00
_cell_angle_beta 94.78
_cell_angle_gamma 90.00
_space_group_name_H-M_alt 'C 1 m 1'
_space_group_IT_number 8
loop_
_space_group_symop_operation_xyz
'x,y,z'
'x,-y,z'
'x+1/2,y+1/2,z'
'x+1/2,-y+1/2,z'
loop_
_atom_site_label
_atom_site_fract_x
_atom_site_fract_y
_atom_site_fract_z
_atom_site_occupancy
Sc1 0.000 0.000 0.000 1
Ag1 0.251 0.000 0.775 1
W1 0.012 0.500 0.484 1
W2 0.258 0.500 0.286 1
# Energy of formation from the pure elements in kJ/mol of atoms: 39.6
# E above lowest polymorph in meV/atom: 177



# 3
# ScAgW2 PBE relaxed
data_ScAgW2
_chemical_formula_sum 'Sc2 Ag2 W4'
_cell_length_a 3.553
_cell_length_b 4.187
_cell_length_c 9.367
_cell_angle_alpha 90.00
_cell_angle_beta 90.00
_cell_angle_gamma 90.00
_space_group_name_H-M_alt 'C m m m'
_space_group_IT_number 65
_space_group_name_Hall '-C 2 2'
loop_
_atom_site_label
_atom_site_fract_x
_atom_site_fract_y
_atom_site_fract_z
_atom_site_occupancy
Sc1 0.000 0.000 0.000 1
Ag1 0.000 0.000 0.500 1
W1 0.000 0.500 0.253 1
# Energy of formation from the pure elements in kJ/mol of atoms: 40.3
# E above lowest polymorph in meV/atom: 185



# 4
# ScAgW3 PBE relaxed
data_ScAgW3
_chemical_formula_sum 'Sc1 Ag1 W3'
_cell_length_a 4.818
_cell_length_b 4.818
_cell_length_c 4.818
_cell_angle_alpha 90.00
_cell_angle_beta 90.00
_cell_angle_gamma 90.00
_space_group_name_H-M_alt 'P m -3 m'
_space_group_IT_number 221
_space_group_name_Hall '-P 4 2 3'
loop_
_atom_site_label
_atom_site_fract_x
_atom_site_fract_y
_atom_site_fract_z
_atom_site_occupancy
Sc1 0.000 0.000 0.000 1
Ag1 0.500 0.500 0.500 1
W1 0.000 0.500 0.500 1
# Energy of formation from the pure elements in kJ/mol of atoms: 237.0
# E above lowest polymorph in meV/atom: 0



# 5
# ScAg4W PBE relaxed
data_ScAg4W
_chemical_formula_sum 'Sc4 Ag16 W4'
_cell_length_a 7.676
_cell_length_b 7.676
_cell_length_c 7.676
_cell_angle_alpha 90.00
_cell_angle_beta 90.00
_cell_angle_gamma 90.00
_space_group_name_H-M_alt 'F -4 3 m'
_space_group_IT_number 216
_space_group_name_Hall 'F -4 2 3'
loop_
_atom_site_label
_atom_site_fract_x
_atom_site_fract_y
_atom_site_fract_z
_atom_site_occupancy
Sc1 0.000 0.000 0.000 1
Ag1 0.125 0.125 0.375 1
W1 0.250 0.250 0.750 1
# Energy of formation from the pure elements in kJ/mol of atoms: 51.5



# 6
# ScAgW2 PBE relaxed
data_ScAgW2
_chemical_formula_sum 'Sc1 Ag1 W2'
_cell_length_a 2.756
_cell_length_b 4.720
_cell_length_c 5.480
_cell_angle_alpha 90.00
_cell_angle_beta 90.00
_cell_angle_gamma 90.00
_space_group_name_H-M_alt 'P m m m'
_space_group_IT_number 47
loop_
_space_group_symop_operation_xyz
'x,y,z'
'-x,-y,-z'
'-x,-y,z'
'x,y,-z'
'x,-y,-z'
'-x,y,z'
'-x,y,-z'
'x,-y,z'
loop_
_atom_site_label
_atom_site_fract_x
_atom_site_fract_y
_atom_site_fract_z
_atom_site_occupancy
Sc1 0.000 0.000 0.000 1
Ag1 0.000 0.000 0.500 1
W1 0.500 0.500 0.236 1
# Energy of formation from the pure elements in kJ/mol of atoms: 45.8
# E above lowest polymorph in meV/atom: 242



# 7
# ScAgW2 PBE relaxed
data_ScAgW2
_chemical_formula_sum 'Sc2 Ag2 W4'
_cell_length_a 5.502
_cell_length_b 9.844
_cell_length_c 2.770
_cell_angle_alpha 90.00
_cell_angle_beta 111.57
_cell_angle_gamma 90.00
_space_group_name_H-M_alt 'C 1 2/m 1'
_space_group_IT_number 12
loop_
_space_group_symop_operation_xyz
'x,y,z'
'-x,-y,-z'
'-x,y,-z'
'x,-y,z'
'x+1/2,y+1/2,z'
'-x+1/2,-y+1/2,-z'
'-x+1/2,y+1/2,-z'
'x+1/2,-y+1/2,z'
loop_
_atom_site_label
_atom_site_fract_x
_atom_site_fract_y
_atom_site_fract_z
_atom_site_occupancy
Sc1 0.000 0.000 0.000 1
Ag1 0.000 0.500 0.000 1
W1 0.250 0.250 0.500 1
# Energy of formation from the pure elements in kJ/mol of atoms: 38.2
# E above lowest polymorph in meV/atom: 162



# 8
# Sc3AgW PBE relaxed
data_Sc3AgW
_chemical_formula_sum 'Sc3 Ag1 W1'
_cell_length_a 5.064
_cell_length_b 5.064
_cell_length_c 5.064
_cell_angle_alpha 90.00
_cell_angle_beta 90.00
_cell_angle_gamma 90.00
_space_group_name_H-M_alt 'P m -3 m'
_space_group_IT_number 221
_space_group_name_Hall '-P 4 2 3'
loop_
_atom_site_label
_atom_site_fract_x
_atom_site_fract_y
_atom_site_fract_z
_atom_site_occupancy
Sc1 0.000 0.000 0.500 1
Ag1 0.500 0.500 0.500 1
W1 0.000 0.000 0.000 1
# Energy of formation from the pure elements in kJ/mol of atoms: 59.5



# 9
# ScAgW2 PBE relaxed
data_ScAgW2
_chemical_formula_sum 'Sc2 Ag2 W4'
_cell_length_a 3.886
_cell_length_b 3.886
_cell_length_c 9.357
_cell_angle_alpha 90.00
_cell_angle_beta 90.00
_cell_angle_gamma 90.00
_space_group_name_H-M_alt 'I 4/m m m'
_space_group_IT_number 139
_space_group_name_Hall '-I 4 2'
loop_
_atom_site_label
_atom_site_fract_x
_atom_site_fract_y
_atom_site_fract_z
_atom_site_occupancy
Sc1 0.000 0.000 0.000 1
Ag1 0.000 0.000 0.500 1
W1 0.000 0.500 0.250 1
# Energy of formation from the pure elements in kJ/mol of atoms: 41.0
# E above lowest polymorph in meV/atom: 191



# 10
# ScAgW2 PBE relaxed
data_ScAgW2
_chemical_formula_sum 'Sc2 Ag2 W4'
_cell_length_a 5.496
_cell_length_b 9.239
_cell_length_c 2.757
_cell_angle_alpha 90.00
_cell_angle_beta 90.00
_cell_angle_gamma 90.00
_space_group_name_H-M_alt 'C m m m'
_space_group_IT_number 65
_space_group_name_Hall '-C 2 2'
loop_
_atom_site_label
_atom_site_fract_x
_atom_site_fract_y
_atom_site_fract_z
_atom_site_occupancy
Sc1 0.000 0.000 0.000 1
Ag1 0.000 0.500 0.000 1
W1 0.250 0.250 0.500 1
# Energy of formation from the pure elements in kJ/mol of atoms: 45.3
# E above lowest polymorph in meV/atom: 236



# 11
# ScAgW2 PBE relaxed
data_ScAgW2
_chemical_formula_sum 'Sc1 Ag1 W2'
_cell_length_a 2.820
_cell_length_b 4.383
_cell_length_c 5.877
_cell_angle_alpha 90.00
_cell_angle_beta 101.76
_cell_angle_gamma 90.00
_space_group_name_H-M_alt 'P 1 m 1'
_space_group_IT_number 6
loop_
_space_group_symop_operation_xyz
'x,y,z'
'x,-y,z'
loop_
_atom_site_label
_atom_site_fract_x
_atom_site_fract_y
_atom_site_fract_z
_atom_site_occupancy
Sc1 0.000 0.000 0.000 1
Ag1 0.422 0.500 0.752 1
W1 0.461 0.500 0.266 1
W2 0.830 0.000 0.466 1
# Energy of formation from the pure elements in kJ/mol of atoms: 28.5
# E above lowest polymorph in meV/atom: 62



# 12
# ScAgW2 PBE relaxed
data_ScAgW2
_chemical_formula_sum 'Sc1 Ag1 W2'
_cell_length_a 2.747
_cell_length_b 2.747
_cell_length_c 9.234
_cell_angle_alpha 90.00
_cell_angle_beta 90.00
_cell_angle_gamma 90.00
_space_group_name_H-M_alt 'P 4/m m m'
_space_group_IT_number 123
_space_group_name_Hall '-P 4 2'
loop_
_atom_site_label
_atom_site_fract_x
_atom_site_fract_y
_atom_site_fract_z
_atom_site_occupancy
Sc1 0.000 0.000 0.000 1
Ag1 0.000 0.000 0.500 1
W1 0.500 0.500 0.255 1
# Energy of formation from the pure elements in kJ/mol of atoms: 41.6
# E above lowest polymorph in meV/atom: 197